1.
# LaPrP2Rh5 | Alexandria via LeMat-Bulk | GGA-PBE | optimized geometry
data_LaPrP2Rh5
_cell_length_a 4.093
_cell_length_b 4.093
_cell_length_c 10.879
_cell_angle_alpha 90.00
_cell_angle_beta 90.00
_cell_angle_gamma 90.00
_space_group_name_H-M_alt 'P 4/m m m'
_space_group_IT_number 123
_space_group_name_Hall '-P 4 2'
loop_
_atom_site_label
_atom_site_type_symbol
_atom_site_fract_x
_atom_site_fract_y
_atom_site_fract_z
La1 La 0.000 0.000 0.000
Pr1 Pr 0.000 0.000 0.500
P1 P 0.500 0.500 0.291
Rh1 Rh 0.000 0.500 0.203
Rh2 Rh 0.500 0.500 0.500
# E_tot = -7.132 eV/atom
# ΔH_f (0 K) = -0.767 eV/atom

2.
# LaPrPS | Alexandria via LeMat-Bulk | GGA-PBE | optimized geometry
data_LaPrPS
_cell_length_a 4.1847
_cell_length_b 4.1847
_cell_length_c 20.5907
_cell_angle_alpha 90.00
_cell_angle_beta 90.00
_cell_angle_gamma 120.00
_space_group_name_H-M_alt 'R 3 m'
_space_group_IT_number 160
_space_group_name_Hall 'R 3 -2"'
loop_
_atom_site_label
_atom_site_type_symbol
_atom_site_fract_x
_atom_site_fract_y
_atom_site_fract_z
La1 La 0.0000 0.0000 0.0000
Pr1 Pr 0.0000 0.0000 0.5044
P1 P 0.0000 0.0000 0.2516
S1 S 0.0000 0.0000 0.7528
# E_tot = -6.691 eV/atom

3.
# LaPr2Sm3P6 | Alexandria via LeMat-Bulk | GGA-PBE | optimized geometry
data_LaPr2Sm3P6
_cell_length_a 7.219
_cell_length_b 12.503
_cell_length_c 7.220
_cell_angle_alpha 90.00
_cell_angle_beta 109.45
_cell_angle_gamma 90.00
_space_group_name_H-M_alt 'C 1 2/m 1'
_space_group_IT_number 12
loop_
_space_group_symop_operation_xyz
'x,y,z'
'-x,-y,-z'
'-x,y,-z'
'x,-y,z'
'x+1/2,y+1/2,z'
'-x+1/2,-y+1/2,-z'
'-x+1/2,y+1/2,-z'
'x+1/2,-y+1/2,z'
loop_
_atom_site_label
_atom_site_type_symbol
_atom_site_fract_x
_atom_site_fract_y
_atom_site_fract_z
La1 La 0.000 0.000 0.000
Pr1 Pr 0.000 0.333 0.000
Sm1 Sm 0.000 0.167 0.500
Sm2 Sm 0.000 0.500 0.500
P1 P 0.247 0.333 0.744
P2 P 0.249 0.000 0.744
# E_tot = -6.643 eV/atom
# ΔH_f (0 K) = -1.551 eV/atom

4.
# La3Pr2SmP6 | Alexandria via LeMat-Bulk | GGA-PBE | optimized geometry
data_La3Pr2SmP6
_cell_length_a 7.316
_cell_length_b 12.671
_cell_length_c 7.319
_cell_angle_alpha 90.00
_cell_angle_beta 109.45
_cell_angle_gamma 90.00
_space_group_name_H-M_alt 'C 1 2/m 1'
_space_group_IT_number 12
loop_
_space_group_symop_operation_xyz
'x,y,z'
'-x,-y,-z'
'-x,y,-z'
'x,-y,z'
'x+1/2,y+1/2,z'
'-x+1/2,-y+1/2,-z'
'-x+1/2,y+1/2,-z'
'x+1/2,-y+1/2,z'
loop_
_atom_site_label
_atom_site_type_symbol
_atom_site_fract_x
_atom_site_fract_y
_atom_site_fract_z
La1 La 0.000 0.000 0.000
La2 La 0.000 0.333 0.000
Pr1 Pr 0.000 0.166 0.500
Sm1 Sm 0.000 0.500 0.500
P1 P 0.247 0.335 0.746
P2 P 0.248 0.500 0.254
# E_tot = -6.680 eV/atom
# ΔH_f (0 K) = -1.553 eV/atom

5.
# LaPrSm2P4 | Alexandria via LeMat-Bulk | GGA-PBE | optimized geometry
data_LaPrSm2P4
_cell_length_a 7.228
_cell_length_b 4.176
_cell_length_c 7.228
_cell_angle_alpha 90.00
_cell_angle_beta 109.44
_cell_angle_gamma 90.00
_space_group_name_H-M_alt 'P 1 2/m 1'
_space_group_IT_number 10
loop_
_space_group_symop_operation_xyz
'x,y,z'
'-x,-y,-z'
'-x,y,-z'
'x,-y,z'
loop_
_atom_site_label
_atom_site_type_symbol
_atom_site_fract_x
_atom_site_fract_y
_atom_site_fract_z
La1 La 0.000 0.000 0.000
Pr1 Pr 0.000 0.500 0.500
Sm1 Sm 0.500 0.000 0.500
Sm2 Sm 0.500 0.500 0.000
P1 P 0.256 0.000 0.751
P2 P 0.257 0.500 0.253
# E_tot = -6.654 eV/atom
# ΔH_f (0 K) = -1.556 eV/atom

6.
# La2PrSmP4 | Alexandria via LeMat-Bulk | GGA-PBE | optimized geometry
data_La2PrSmP4
_cell_length_a 7.299
_cell_length_b 4.218
_cell_length_c 7.303
_cell_angle_alpha 90.00
_cell_angle_beta 109.43
_cell_angle_gamma 90.00
_space_group_name_H-M_alt 'P 1 2/m 1'
_space_group_IT_number 10
loop_
_space_group_symop_operation_xyz
'x,y,z'
'-x,-y,-z'
'-x,y,-z'
'x,-y,z'
loop_
_atom_site_label
_atom_site_type_symbol
_atom_site_fract_x
_atom_site_fract_y
_atom_site_fract_z
La1 La 0.000 0.000 0.000
La2 La 0.500 0.500 0.000
Pr1 Pr 0.000 0.500 0.500
Sm1 Sm 0.500 0.000 0.500
P1 P 0.251 0.000 0.746
P2 P 0.254 0.500 0.256
# E_tot = -6.681 eV/atom
# ΔH_f (0 K) = -1.557 eV/atom

7.
# LaPr3Sm2P6 | Alexandria via LeMat-Bulk | GGA-PBE | optimized geometry
data_LaPr3Sm2P6
_cell_length_a 7.249
_cell_length_b 12.554
_cell_length_c 7.248
_cell_angle_alpha 90.00
_cell_angle_beta 109.46
_cell_angle_gamma 90.00
_space_group_name_H-M_alt 'C 1 2/m 1'
_space_group_IT_number 12
loop_
_space_group_symop_operation_xyz
'x,y,z'
'-x,-y,-z'
'-x,y,-z'
'x,-y,z'
'x+1/2,y+1/2,z'
'-x+1/2,-y+1/2,-z'
'-x+1/2,y+1/2,-z'
'x+1/2,-y+1/2,z'
loop_
_atom_site_label
_atom_site_type_symbol
_atom_site_fract_x
_atom_site_fract_y
_atom_site_fract_z
La1 La 0.000 0.000 0.000
Pr1 Pr 0.000 0.166 0.500
Pr2 Pr 0.000 0.500 0.500
Sm1 Sm 0.000 0.333 0.000
P1 P 0.245 0.500 0.247
P2 P 0.249 0.331 0.753
# E_tot = -6.638 eV/atom
# ΔH_f (0 K) = -1.541 eV/atom

8.
# LaPr2SmP4 | Alexandria via LeMat-Bulk | GGA-PBE | optimized geometry
data_LaPr2SmP4
_cell_length_a 7.270
_cell_length_b 4.201
_cell_length_c 7.270
_cell_angle_alpha 90.00
_cell_angle_beta 109.42
_cell_angle_gamma 90.00
_space_group_name_H-M_alt 'P 1 2/m 1'
_space_group_IT_number 10
loop_
_space_group_symop_operation_xyz
'x,y,z'
'-x,-y,-z'
'-x,y,-z'
'x,-y,z'
loop_
_atom_site_label
_atom_site_type_symbol
_atom_site_fract_x
_atom_site_fract_y
_atom_site_fract_z
La1 La 0.000 0.000 0.000
Pr1 Pr 0.000 0.500 0.500
Pr2 Pr 0.500 0.000 0.500
Sm1 Sm 0.500 0.500 0.000
P1 P 0.253 0.500 0.250
P2 P 0.254 0.000 0.753
# E_tot = -6.646 eV/atom
# ΔH_f (0 K) = -1.541 eV/atom

9.
# LaTbPr2P4 | Alexandria via LeMat-Bulk | GGA-PBE | optimized geometry
data_LaTbPr2P4
_cell_length_a 7.236
_cell_length_b 4.182
_cell_length_c 7.237
_cell_angle_alpha 90.00
_cell_angle_beta 109.41
_cell_angle_gamma 90.00
_space_group_name_H-M_alt 'P 1 2/m 1'
_space_group_IT_number 10
loop_
_space_group_symop_operation_xyz
'x,y,z'
'-x,-y,-z'
'-x,y,-z'
'x,-y,z'
loop_
_atom_site_label
_atom_site_type_symbol
_atom_site_fract_x
_atom_site_fract_y
_atom_site_fract_z
La1 La 0.000 0.000 0.000
Tb1 Tb 0.500 0.500 0.000
Pr1 Pr 0.000 0.500 0.500
Pr2 Pr 0.500 0.000 0.500
P1 P 0.255 0.500 0.248
P2 P 0.258 0.000 0.756
# E_tot = -6.636 eV/atom
# ΔH_f (0 K) = -1.542 eV/atom

10.
# LaTb2PrP4 | Alexandria via LeMat-Bulk | GGA-PBE | optimized geometry
data_LaTb2PrP4
_cell_length_a 7.159
_cell_length_b 4.136
_cell_length_c 7.161
_cell_angle_alpha 90.00
_cell_angle_beta 109.45
_cell_angle_gamma 90.00
_space_group_name_H-M_alt 'P 1 2/m 1'
_space_group_IT_number 10
loop_
_space_group_symop_operation_xyz
'x,y,z'
'-x,-y,-z'
'-x,y,-z'
'x,-y,z'
loop_
_atom_site_label
_atom_site_type_symbol
_atom_site_fract_x
_atom_site_fract_y
_atom_site_fract_z
La1 La 0.000 0.000 0.000
Tb1 Tb 0.500 0.000 0.500
Tb2 Tb 0.500 0.500 0.000
Pr1 Pr 0.000 0.500 0.500
P1 P 0.261 0.000 0.753
P2 P 0.262 0.500 0.255
# E_tot = -6.645 eV/atom
# ΔH_f (0 K) = -1.569 eV/atom

11.
# La2Tb3PrP6 | Alexandria via LeMat-Bulk | GGA-PBE | optimized geometry
data_La2Tb3PrP6
_cell_length_a 18.044
_cell_length_b 4.142
_cell_length_c 8.281
_cell_angle_alpha 90.00
_cell_angle_beta 103.26
_cell_angle_gamma 90.00
_space_group_name_H-M_alt 'C 1 2/m 1'
_space_group_IT_number 12
loop_
_space_group_symop_operation_xyz
'x,y,z'
'-x,-y,-z'
'-x,y,-z'
'x,-y,z'
'x+1/2,y+1/2,z'
'-x+1/2,-y+1/2,-z'
'-x+1/2,y+1/2,-z'
'x+1/2,-y+1/2,z'
loop_
_atom_site_label
_atom_site_type_symbol
_atom_site_fract_x
_atom_site_fract_y
_atom_site_fract_z
La1 La 0.166 0.000 0.333
Tb1 Tb 0.000 0.500 0.500
Tb2 Tb 0.166 0.000 0.834
Pr1 Pr 0.000 0.500 0.000
P1 P 0.003 0.000 0.745
P2 P 0.164 0.500 0.590
P3 P 0.169 0.500 0.076
# E_tot = -6.655 eV/atom
# ΔH_f (0 K) = -1.573 eV/atom

12.
# La2TbPrP4 | Alexandria via LeMat-Bulk | GGA-PBE | optimized geometry
data_La2TbPrP4
_cell_length_a 7.266
_cell_length_b 4.199
_cell_length_c 7.269
_cell_angle_alpha 90.00
_cell_angle_beta 109.44
_cell_angle_gamma 90.00
_space_group_name_H-M_alt 'P 1 2/m 1'
_space_group_IT_number 10
loop_
_space_group_symop_operation_xyz
'x,y,z'
'-x,-y,-z'
'-x,y,-z'
'x,-y,z'
loop_
_atom_site_label
_atom_site_type_symbol
_atom_site_fract_x
_atom_site_fract_y
_atom_site_fract_z
La1 La 0.000 0.000 0.000
La2 La 0.500 0.500 0.000
Tb1 Tb 0.000 0.500 0.500
Pr1 Pr 0.500 0.000 0.500
P1 P 0.242 0.000 0.741
P2 P 0.247 0.500 0.256
# E_tot = -6.672 eV/atom
# ΔH_f (0 K) = -1.559 eV/atom